[1]
## Pr4Pd3Pt (GGA-PBE)

Data for a geometry-optimized Pr4Pd3Pt structure.

ΔE_f, eV/atom: -0.88

extended XYZ file:
```
8
Lattice="3.922 0.000 0.000 0.000 4.647 0.000 0.000 0.000 10.966" Properties=species:S:1:pos:R:3 pbc="T T T"
Pr 0.000 0.000 0.000
Pr 0.000 2.323 2.972
Pr 1.961 0.000 5.423
Pr 1.961 2.323 8.447
Pd 0.000 0.000 7.880
Pd 0.000 2.323 6.027
Pd 1.961 2.323 0.516
Pt 1.961 0.000 2.418
```

---

[2]
## SiPt2 (GGA-PBE)

Data for a geometry-optimized SiPt2 structure.

E, eV per atom: -5.59

extended XYZ file:
```
6
Lattice="0.000 3.722 3.722 3.722 0.000 3.722 3.722 3.722 0.000" Properties=species:S:1:pos:R:3 pbc="T T T"
Si 0.931 0.931 0.931
Si 6.514 6.514 6.514
Pt 3.722 1.861 1.861
Pt 1.861 3.722 1.861
Pt 1.861 1.861 3.722
Pt 3.722 3.722 3.722
```

---

[3]
## Hf6Si7Ni16 (GGA-PBE)

Data for a geometry-optimized Hf6Si7Ni16 structure.

E, eV per atom: -7.22

extended XYZ file:
```
29
Lattice="0.000 5.694 5.694 5.694 0.000 5.694 5.694 5.694 0.000" Properties=species:S:1:pos:R:3 pbc="T T T"
Hf 5.694 5.694 2.339
Hf 5.694 2.339 5.694
Hf 9.048 5.694 5.694
Hf 2.339 5.694 5.694
Hf 5.694 9.048 5.694
Hf 5.694 5.694 9.048
Si 2.847 2.847 0.000
Si 2.847 0.000 2.847
Si 5.694 2.847 2.847
Si 0.000 2.847 2.847
Si 2.847 5.694 2.847
Si 2.847 2.847 5.694
Si 5.694 5.694 5.694
Ni 7.039 4.348 4.348
Ni 1.913 1.913 1.913
Ni 3.780 3.780 1.913
Ni 3.780 1.913 3.780
Ni 4.348 4.348 4.348
Ni 7.039 7.039 4.348
Ni 7.039 4.348 7.039
Ni 1.913 3.780 3.780
Ni 9.474 7.607 7.607
Ni 4.348 7.039 4.348
Ni 4.348 4.348 7.039
Ni 7.039 7.039 7.039
Ni 7.607 9.474 7.607
Ni 7.607 7.607 9.474
Ni 9.474 9.474 9.474
Ni 4.348 7.039 7.039
```